# 1
A plane-wave DFT calculation with PBE was carried out for a relaxed structure of La11Ni4Ag9.

Output
Its crystal system is orthorhombic. The value obtained for the energy relative to the elements is -294 meV/atom. As for the symmetry: No. 65.

Cell lengths 3.7927, 13.1900, 13.1900 Å; angles 112.16, 90.00, 90.00 degrees
Last column: nearest neighbours and their distance in Å.
Positions (direct):
Ni: 0.5000 0.2515 0.4504  6 La 2.86-2.97, 3 Ag 3.04-3.11
Ni: 0.5000 0.5496 0.7485  6 La 2.86-2.97, 3 Ag 3.04-3.11
Ni: 0.5000 0.7485 0.5496  6 La 2.86-2.97, 3 Ag 3.04-3.11
Ni: 0.5000 0.4504 0.2515  6 La 2.86-2.97, 3 Ag 3.04-3.11
Ag: 0.5000 0.2153 0.0728  1 Ni 3.11, 1 Ag 3.12, 6 La 3.22-3.42
Ag: 0.5000 0.0728 0.2153  1 Ni 3.11, 1 Ag 3.12, 6 La 3.22-3.42
Ag: 0.5000 0.9272 0.7847  1 Ni 3.11, 1 Ag 3.12, 6 La 3.22-3.42
Ag: 0.5000 0.3690 0.8390  1 Ni 3.04, 1 Ag 3.06, 6 La 3.25-3.37
Ag: 0.5000 0.5000 0.5000  4 Ni 3.09, 8 La 3.40-3.43
Ag: 0.5000 0.8390 0.3690  1 Ni 3.04, 1 Ag 3.06, 6 La 3.25-3.37
Ag: 0.5000 0.1610 0.6310  1 Ni 3.04, 1 Ag 3.06, 6 La 3.25-3.37
Ag: 0.5000 0.7847 0.9272  1 Ni 3.11, 1 Ag 3.12, 6 La 3.22-3.42
Ag: 0.5000 0.6310 0.1610  1 Ni 3.04, 1 Ag 3.06, 6 La 3.25-3.37
La: 0.0000 0.4149 0.0796  2 Ni 2.86
La: 0.0000 0.5851 0.9204  2 Ni 2.86
La: 0.0000 0.3712 0.6288  4 Ni 2.97
La: 0.0000 0.6943 0.6943  4 Ni 2.96
La: 0.0000 0.0796 0.4149  2 Ni 2.86
La: 0.0000 0.1666 0.8334  8 Ag 3.25-3.53, 2 La 3.64
La: 0.0000 0.8334 0.1666  8 Ag 3.25-3.53, 2 La 3.64
La: 0.0000 0.6288 0.3712  4 Ni 2.97
La: 0.0000 0.3057 0.3057  4 Ni 2.96
La: 0.0000 0.9204 0.5851  2 Ni 2.86
La: 0.0000 0.0000 0.0000  8 Ag 3.24



# 2
A plane-wave DFT calculation with PBE was carried out for a relaxed structure of Li6Hg2HN.

Output
Its crystal system is monoclinic. The final energy is -2.6602 eV/atom. As for the symmetry: No. 12.

Cell lengths 5.9163, 5.9163, 5.8470 Å; angles 59.10, 59.10, 89.25 degrees
Last column: nearest neighbours and their distance in Å.
Positions (direct):
Li: 0.7342 0.7342 0.9985  1 N 1.97
Li: 0.2631 0.7369 0.0000  1 N 1.97, 1 H 2.19
Li: 0.7436 0.7436 0.5122  1 N 1.98, 1 H 2.07
Li: 0.7369 0.2631 0.0000  1 N 1.97, 1 H 2.19
Li: 0.2658 0.2658 0.0015  1 N 1.97
Li: 0.2564 0.2564 0.4878  1 N 1.98, 1 H 2.07
Hg: 0.7483 0.2517 0.5000  12 Li 2.90-2.97
Hg: 0.2517 0.7483 0.5000  12 Li 2.90-2.97
N: 0.5000 0.5000 0.0000  6 Li 1.97-1.98
H: 0.0000 0.0000 0.0000  6 Li 2.07-2.24



In order of appearance, calculated density = 7.43, 5.37 g/cm³.